1.
5
Lattice="4.454 0.000 0.000 0.000 4.454 0.000 0.000 0.000 4.667" Properties=species:S:1:pos:R:3 comment="Ga2CoHgW, optimized geometry, DFT PBE-GGA" rho_g_cm3=10.45 sg=P4/mmm energy_ev_per_atom=-4.6990 pbc="T T T"
Ga 0.000 2.227 0.000
Ga 2.227 0.000 0.000
Co 0.000 0.000 0.000
Hg 2.227 2.227 2.334
W 0.000 0.000 2.334

***

2.
10
Lattice="9.211 0.000 0.000 0.000 9.211 0.000 0.000 0.000 3.590" Properties=species:S:1:pos:R:3 comment="BaCa2Ag2, optimized geometry, DFT PBE-GGA" rho_g_cm3=4.72 polymorph_energy_ev_per_atom=0.080 sg=P4/mbm energy_ev_per_atom=-2.4686 pbc="T T T"
Ba 0.000 0.000 0.000
Ba 4.605 4.605 0.000
Ca 1.207 3.398 0.000
Ca 3.398 8.004 0.000
Ca 5.812 1.207 0.000
Ca 8.004 5.812 0.000
Ag 1.507 6.112 1.795
Ag 3.098 1.507 1.795
Ag 6.112 7.704 1.795
Ag 7.704 3.098 1.795

***

3.
4
Lattice="4.114 0.000 0.000 0.000 4.114 0.000 0.000 0.000 5.967" Properties=species:S:1:pos:R:3 comment="YTl2P, optimized geometry, DFT PBE-GGA" rho_g_cm3=8.69 polymorph_energy_ev_per_atom=0.480 sg=P4/mmm energy_ev_per_atom=-4.1870 pbc="T T T"
Y 0.000 0.000 0.000
Tl 2.057 2.057 1.550
Tl 2.057 2.057 4.417
P 0.000 0.000 2.984

***

4.
20
Lattice="8.148 0.000 0.000 0.000 12.090 0.000 0.000 0.000 9.248" Properties=species:S:1:pos:R:3 comment="Cs2RbErBr6, optimized geometry, DFT PBE-GGA" rho_g_cm3=3.64 sg=Pmmn raw_formation_energy_mev_per_atom=-1853 energy_ev_per_atom=-3.5806 pbc="T T T"
Cs 2.037 0.412 1.741
Cs 2.037 5.633 1.741
Cs 6.111 6.458 7.507
Cs 6.111 11.678 7.507
Rb 2.037 3.023 6.477
Rb 6.111 9.068 2.770
Er 2.037 9.068 7.321
Er 6.111 3.023 1.927
Br 0.001 3.023 3.792
Br 8.148 9.068 5.456
Br 0.123 9.068 0.124
Br 2.037 6.284 7.344
Br 2.037 11.852 7.344
Br 3.951 9.068 0.124
Br 4.074 3.023 3.792
Br 4.075 9.068 5.456
Br 4.198 3.023 9.124
Br 6.111 0.238 1.904
Br 6.111 5.807 1.904
Br 8.025 3.023 9.124

***

5.
6
Lattice="2.453 -7.695 0.000 2.453 7.695 0.000 0.000 0.000 4.947" Properties=species:S:1:pos:R:3 comment="Sm5Sn, optimized geometry, DFT PBE-GGA" rho_g_cm3=7.74 polymorph_energy_ev_per_atom=0.000 sg=Cmmm energy_ev_per_atom=-4.8623 pbc="T T T"
Sm 0.000 0.000 0.000
Sm 2.453 5.223 2.473
Sm 2.453 2.521 0.000
Sm 2.453 -2.521 0.000
Sm 2.453 -5.223 2.473
Sn 2.453 0.000 2.473

***

6.
9
Lattice="2.397 -6.823 0.000 2.397 6.823 0.000 -2.129 0.000 4.097" Properties=species:S:1:pos:R:3 comment="MnFe2Pd6, optimized geometry, DFT PBE-GGA" rho_g_cm3=9.98 polymorph_energy_ev_per_atom=0.026 sg=C2/m energy_ev_per_atom=-6.4457 pbc="T T T"
Mn 0.000 0.000 0.000
Fe 1.332 4.553 2.049
Fe 1.332 -4.553 2.049
Pd 1.205 2.278 0.701
Pd 0.115 0.000 2.692
Pd 1.205 -2.278 0.701
Pd 1.460 2.278 3.397
Pd 2.550 0.000 1.405
Pd 1.460 -2.278 3.397

***

7.
4
Lattice="1.447 0.836 10.106 -1.447 0.836 10.106 0.000 -1.671 10.106" Properties=species:S:1:pos:R:3 comment="ZrAg2W, optimized geometry, DFT PBE-GGA" rho_g_cm3=11.11 sg=R3m energy_ev_per_atom=-6.4512 pbc="T T T"
Zr 0.000 0.000 0.000
Ag 0.000 0.000 15.183
Ag 0.000 0.000 22.839
W 0.000 0.000 7.487

***

8.
5
Lattice="5.950 0.000 0.000 0.000 5.950 0.000 0.000 0.000 4.666" Properties=species:S:1:pos:R:3 comment="Ba2ZnNiRh, optimized geometry, DFT PBE-GGA" rho_g_cm3=5.04 sg=P4/mmm energy_ev_per_atom=-3.4818 pbc="T T T"
Ba 0.000 2.975 0.000
Ba 2.975 0.000 0.000
Zn 0.000 0.000 2.333
Ni 2.975 2.975 2.333
Rh 2.975 2.975 0.000

***

9.
9
Lattice="-4.749 4.749 2.244 4.749 -4.749 2.244 4.749 4.749 -2.244" Properties=species:S:1:pos:R:3 comment="Hf8Sc, optimized geometry, DFT PBE-GGA" rho_g_cm3=12.08 sg=I4/mmm energy_ev_per_atom=-9.4818 pbc="T T T"
Hf 3.180 0.000 0.000
Hf 6.318 0.000 0.000
Hf 3.145 3.145 0.000
Hf 1.604 -1.604 2.244
Hf 0.000 3.180 0.000
Hf 0.000 6.318 0.000
Hf -1.604 1.604 2.244
Hf 1.604 1.604 2.244
Sc 0.000 0.000 0.000

***

10.
5
Lattice="4.746 0.000 0.000 0.000 4.746 0.000 0.000 0.000 5.155" Properties=species:S:1:pos:R:3 comment="YCdGa2Os, optimized geometry, DFT PBE-GGA" rho_g_cm3=7.59 sg=P4/mmm energy_ev_per_atom=-4.8972 pbc="T T T"
Y 0.000 0.000 0.000
Cd 2.373 2.373 0.000
Ga 0.000 2.373 2.578
Ga 2.373 0.000 2.578
Os 2.373 2.373 2.578

***

11.
6
Lattice="2.486 -2.378 0.000 2.486 2.378 0.000 -0.607 0.000 11.594" Properties=species:S:1:pos:R:3 comment="UIrPb, optimized geometry, DFT PBE-GGA" rho_g_cm3=15.44 sg=C2/m energy_ev_per_atom=-8.1567 pbc="T T T"
U 1.019 0.000 0.862
U 3.345 0.000 10.732
Ir 1.071 0.000 9.315
Ir 3.293 0.000 2.279
Pb 1.073 0.000 4.358
Pb 3.291 0.000 7.236

***

12.
4
Lattice="-1.359 2.360 5.072 1.359 -2.360 5.072 1.359 2.360 -5.072" Properties=species:S:1:pos:R:3 comment="TiAlIr2, optimized geometry, DFT PBE-GGA" rho_g_cm3=11.72 sg=Immm energy_ev_per_atom=-7.3256 pbc="T T T"
Ti 0.000 0.000 0.000
Al 0.000 0.000 5.072
Ir 0.000 0.000 2.385
Ir 0.000 0.000 7.760